# SrPm2In3, relaxed, DFT PBE-GGA
data_SrPm2In3
_chemical_formula_sum 'Sr1 Pm2 In3'
_symmetry_space_group_name_H-M 'P 1'
_symmetry_Int_Tables_number 1
_cell_length_a 3.9168
_cell_length_b 3.9168
_cell_length_c 11.7961
_cell_angle_alpha 90.00
_cell_angle_beta 90.00
_cell_angle_gamma 90.00
loop_
_symmetry_equiv_pos_as_xyz
'x,y,z'
loop_
_atom_site_label
_atom_site_type_symbol
_atom_site_fract_x
_atom_site_fract_y
_atom_site_fract_z
Sr1 Sr 0.5000 0.5000 0.5000
Pm1 Pm 0.5000 0.5000 0.8382
Pm2 Pm 0.5000 0.5000 0.1618
In1 In 0.0000 0.0000 0.0000
In2 In 0.0000 0.0000 0.6831
In3 In 0.0000 0.0000 0.3169
# density of states at the Fermi level	0.6703	states/eV per atom
# formation energy from the elements	-44.3	kJ per mole of atoms
# space-group type	P4/mmm (123)